(1)
# PBE HIrS2, optimized geometry
data_HIrS2
_chemical_formula_sum 'H2 Ir2 S4'
_cell_length_a 6.475
_cell_length_b 6.475
_cell_length_c 5.191
_cell_angle_alpha 104.62
_cell_angle_beta 104.62
_cell_angle_gamma 117.00
_symmetry_space_group_name_H-M 'P 1'
_symmetry_Int_Tables_number 1
_symmetry_space_group_name_Hall 'P 1'
loop_
_atom_site_label
_atom_site_fract_x
_atom_site_fract_y
_atom_site_fract_z
H1 0.203 0.797 0.750
H2 0.797 0.203 0.250
Ir1 0.029 0.971 0.250
Ir2 0.971 0.029 0.750
S1 0.052 0.320 0.172
S2 0.320 0.052 0.672
S3 0.680 0.948 0.328
S4 0.948 0.680 0.828
# Uncorrected energy: -4.990 eV/atom
# Volume: 169.80 Å³/cell
# Space-group type: C2/c

(2)
# PBE MoAu2, optimized geometry
data_MoAu2
_chemical_formula_sum 'Mo3 Au6'
_cell_length_a 8.054
_cell_length_b 8.054
_cell_length_c 2.764
_cell_angle_alpha 90.00
_cell_angle_beta 90.00
_cell_angle_gamma 120.00
_symmetry_space_group_name_H-M 'P 1'
_symmetry_Int_Tables_number 1
_symmetry_space_group_name_Hall 'P 1'
loop_
_atom_site_label
_atom_site_fract_x
_atom_site_fract_y
_atom_site_fract_z
Mo1 0.000 0.000 0.000
Mo2 0.333 0.667 0.500
Mo3 0.667 0.333 0.500
Au1 0.000 0.303 0.500
Au2 0.000 0.634 0.000
Au3 0.303 0.000 0.500
Au4 0.366 0.366 0.000
Au5 0.634 0.000 0.000
Au6 0.697 0.697 0.500
# Formation enthalpy at 0 K: 0.398 eV per atom
# Uncorrected energy: -5.397 eV/atom
# Volume: 155.28 Å³/cell
# Space-group type: P-62m

(3)
# PBE LaTl2Ir, optimized geometry
data_LaTl2Ir
_chemical_formula_sum 'La1 Tl2 Ir1'
_cell_length_a 9.574
_cell_length_b 9.574
_cell_length_c 9.574
_cell_angle_alpha 21.39
_cell_angle_beta 21.39
_cell_angle_gamma 21.39
_symmetry_space_group_name_H-M 'P 1'
_symmetry_Int_Tables_number 1
_symmetry_space_group_name_Hall 'P 1'
loop_
_atom_site_label
_atom_site_fract_x
_atom_site_fract_y
_atom_site_fract_z
La1 0.000 0.000 0.000
Tl1 0.235 0.235 0.235
Tl2 0.765 0.765 0.765
Ir1 0.500 0.500 0.500
# Formation enthalpy at 0 K: 0.224 eV per atom
# Uncorrected energy: -4.406 eV/atom
# Volume: 102.23 Å³/cell
# Space-group type: R-3m

(4)
# PBE LiSmAu2, optimized geometry
data_LiSmAu2
_chemical_formula_sum 'Li1 Sm1 Au2'
_cell_length_a 5.349
_cell_length_b 5.349
_cell_length_c 5.349
_cell_angle_alpha 50.97
_cell_angle_beta 50.97
_cell_angle_gamma 50.97
_symmetry_space_group_name_H-M 'P 1'
_symmetry_Int_Tables_number 1
_symmetry_space_group_name_Hall 'P 1'
loop_
_atom_site_label
_atom_site_fract_x
_atom_site_fract_y
_atom_site_fract_z
Li1 0.000 0.000 0.000
Sm1 0.500 0.500 0.500
Au1 0.280 0.280 0.280
Au2 0.720 0.720 0.720
# Formation enthalpy at 0 K: -0.707 eV per atom
# Uncorrected energy: -4.004 eV/atom
# Volume: 85.18 Å³/cell
# Space-group type: R-3m

(5)
# PBE La2Pr5YMg, optimized geometry
data_La2Pr5YMg
_chemical_formula_sum 'La4 Pr10 Y2 Mg2'
_cell_length_a 10.534
_cell_length_b 10.534
_cell_length_c 11.016
_cell_angle_alpha 90.00
_cell_angle_beta 90.00
_cell_angle_gamma 148.80
_symmetry_space_group_name_H-M 'P 1'
_symmetry_Int_Tables_number 1
_symmetry_space_group_name_Hall 'P 1'
loop_
_atom_site_label
_atom_site_fract_x
_atom_site_fract_y
_atom_site_fract_z
La1 0.116 0.884 0.541
La2 0.116 0.884 0.959
La3 0.884 0.116 0.041
La4 0.884 0.116 0.459
Pr1 0.015 0.985 0.250
Pr2 0.287 0.713 0.552
Pr3 0.287 0.713 0.948
Pr4 0.380 0.620 0.250
Pr5 0.500 0.500 0.000
Pr6 0.500 0.500 0.500
Pr7 0.620 0.380 0.750
Pr8 0.713 0.287 0.052
Pr9 0.713 0.287 0.448
Pr10 0.985 0.015 0.750
Y1 0.201 0.799 0.250
Y2 0.799 0.201 0.750
Mg1 0.404 0.596 0.750
Mg2 0.596 0.404 0.250
# Formation enthalpy at 0 K: 0.074 eV per atom
# Uncorrected energy: -4.572 eV/atom
# Volume: 633.19 Å³/cell
# Space-group type: Cmcm

(6)
# PBE KTl6Te4, optimized geometry
data_KTl6Te4
_chemical_formula_sum 'K1 Tl6 Te4'
_cell_length_a 7.216
_cell_length_b 7.216
_cell_length_c 9.506
_cell_angle_alpha 112.25
_cell_angle_beta 112.25
_cell_angle_gamma 89.92
_symmetry_space_group_name_H-M 'P 1'
_symmetry_Int_Tables_number 1
_symmetry_space_group_name_Hall 'P 1'
loop_
_atom_site_label
_atom_site_fract_x
_atom_site_fract_y
_atom_site_fract_z
K1 0.000 0.000 0.000
Tl1 0.001 0.500 0.000
Tl2 0.110 0.551 0.660
Tl3 0.450 0.450 0.341
Tl4 0.500 0.001 0.000
Tl5 0.551 0.110 0.660
Tl6 0.890 0.890 0.340
Te1 0.125 0.125 0.729
Te2 0.396 0.874 0.270
Te3 0.604 0.604 0.730
Te4 0.874 0.396 0.270
# Uncorrected energy: -2.854 eV/atom
# Volume: 418.19 Å³/cell
# Space-group type: Cm

(7)
# PBE PaSbMo, optimized geometry
data_PaSbMo
_chemical_formula_sum 'Pa1 Sb1 Mo1'
_cell_length_a 4.703
_cell_length_b 4.703
_cell_length_c 3.520
_cell_angle_alpha 90.00
_cell_angle_beta 90.00
_cell_angle_gamma 120.00
_symmetry_space_group_name_H-M 'P 1'
_symmetry_Int_Tables_number 1
_symmetry_space_group_name_Hall 'P 1'
loop_
_atom_site_label
_atom_site_fract_x
_atom_site_fract_y
_atom_site_fract_z
Pa1 0.000 0.000 0.000
Sb1 0.667 0.333 0.500
Mo1 0.333 0.667 0.500
# Uncorrected energy: -8.173 eV/atom
# Volume: 67.44 Å³/cell
# Space-group type: P-6m2

(8)
# PBE ZrSc5Al2In, optimized geometry
data_ZrSc5Al2In
_chemical_formula_sum 'Zr2 Sc10 Al4 In2'
_cell_length_a 8.596
_cell_length_b 8.596
_cell_length_c 8.596
_cell_angle_alpha 126.10
_cell_angle_beta 126.10
_cell_angle_gamma 79.72
_symmetry_space_group_name_H-M 'P 1'
_symmetry_Int_Tables_number 1
_symmetry_space_group_name_Hall 'P 1'
loop_
_atom_site_label
_atom_site_fract_x
_atom_site_fract_y
_atom_site_fract_z
Zr1 0.250 0.750 0.500
Zr2 0.750 0.250 0.500
Sc1 0.000 0.000 0.000
Sc2 0.078 0.578 0.917
Sc3 0.161 0.078 0.500
Sc4 0.339 0.839 0.917
Sc5 0.422 0.339 0.500
Sc6 0.500 0.500 0.000
Sc7 0.578 0.661 0.500
Sc8 0.661 0.161 0.083
Sc9 0.839 0.922 0.500
Sc10 0.922 0.422 0.083
Al1 0.109 0.391 0.500
Al2 0.391 0.891 0.282
Al3 0.609 0.109 0.718
Al4 0.891 0.609 0.500
In1 0.250 0.250 0.000
In2 0.750 0.750 0.000
# Formation enthalpy at 0 K: -0.074 eV per atom
# Uncorrected energy: -5.677 eV/atom
# Volume: 400.52 Å³/cell
# Space-group type: I4/mcm

(9)
# PBE KPrTcO5, optimized geometry
data_KPrTcO5
_chemical_formula_sum 'K2 Pr2 Tc2 O10'
_cell_length_a 6.485
_cell_length_b 6.485
_cell_length_c 8.395
_cell_angle_alpha 103.21
_cell_angle_beta 103.21
_cell_angle_gamma 106.86
_symmetry_space_group_name_H-M 'P 1'
_symmetry_Int_Tables_number 1
_symmetry_space_group_name_Hall 'P 1'
loop_
_atom_site_label
_atom_site_fract_x
_atom_site_fract_y
_atom_site_fract_z
K1 0.177 0.823 0.750
K2 0.823 0.177 0.250
Pr1 0.500 0.500 0.000
Pr2 0.500 0.500 0.500
Tc1 0.177 0.823 0.250
Tc2 0.823 0.177 0.750
O1 0.092 0.235 0.904
O2 0.192 0.628 0.370
O3 0.235 0.092 0.404
O4 0.372 0.808 0.130
O5 0.420 0.580 0.750
O6 0.580 0.420 0.250
O7 0.628 0.192 0.870
O8 0.765 0.908 0.596
O9 0.808 0.372 0.630
O10 0.908 0.765 0.096
# Uncorrected energy: -7.154 eV/atom
# Volume: 312.02 Å³/cell
# Space-group type: C2/c

(10)
# PBE La8GeSe4Br3, optimized geometry
data_La8GeSe4Br3
_chemical_formula_sum 'La8 Ge1 Se4 Br3'
_cell_length_a 8.686
_cell_length_b 8.686
_cell_length_c 8.686
_cell_angle_alpha 60.16
_cell_angle_beta 60.16
_cell_angle_gamma 60.16
_symmetry_space_group_name_H-M 'P 1'
_symmetry_Int_Tables_number 1
_symmetry_space_group_name_Hall 'P 1'
loop_
_atom_site_label
_atom_site_fract_x
_atom_site_fract_y
_atom_site_fract_z
La1 0.232 0.753 0.753
La2 0.243 0.243 0.243
La3 0.247 0.247 0.768
La4 0.247 0.768 0.247
La5 0.753 0.232 0.753
La6 0.753 0.753 0.232
La7 0.757 0.757 0.757
La8 0.768 0.247 0.247
Ge1 0.000 0.000 0.000
Se1 0.000 0.000 0.500
Se2 0.000 0.500 0.000
Se3 0.500 0.000 0.000
Se4 0.500 0.500 0.500
Br1 0.000 0.500 0.500
Br2 0.500 0.000 0.500
Br3 0.500 0.500 0.000
# Uncorrected energy: -5.574 eV/atom
# Volume: 465.09 Å³/cell
# Space-group type: R-3m

(11)
# PBE Cs2AuF, optimized geometry
data_Cs2AuF
_chemical_formula_sum 'Cs2 Au1 F1'
_cell_length_a 5.832
_cell_length_b 5.832
_cell_length_c 5.832
_cell_angle_alpha 60.00
_cell_angle_beta 60.00
_cell_angle_gamma 60.00
_symmetry_space_group_name_H-M 'P 1'
_symmetry_Int_Tables_number 1
_symmetry_space_group_name_Hall 'P 1'
loop_
_atom_site_label
_atom_site_fract_x
_atom_site_fract_y
_atom_site_fract_z
Cs1 0.250 0.250 0.250
Cs2 0.750 0.750 0.750
Au1 0.000 0.000 0.000
F1 0.500 0.500 0.500
# Uncorrected energy: -3.019 eV/atom
# Volume: 140.29 Å³/cell
# Space-group type: Fm-3m

(12)
# PBE Tb6DyTh4, optimized geometry
data_Tb6DyTh4
_chemical_formula_sum 'Tb6 Dy1 Th4'
_cell_length_a 18.196
_cell_length_b 18.196
_cell_length_c 18.196
_cell_angle_alpha 169.15
_cell_angle_beta 161.47
_cell_angle_gamma 21.52
_symmetry_space_group_name_H-M 'P 1'
_symmetry_Int_Tables_number 1
_symmetry_space_group_name_Hall 'P 1'
loop_
_atom_site_label
_atom_site_fract_x
_atom_site_fract_y
_atom_site_fract_z
Tb1 0.096 0.096 0.000
Tb2 0.267 0.267 0.000
Tb3 0.369 0.369 0.000
Tb4 0.631 0.631 0.000
Tb5 0.733 0.733 0.000
Tb6 0.904 0.904 0.000
Dy1 0.000 0.500 0.500
Th1 0.182 0.682 0.500
Th2 0.456 0.956 0.500
Th3 0.544 0.044 0.500
Th4 0.818 0.318 0.500
# Formation enthalpy at 0 K: 0.165 eV per atom
# Uncorrected energy: -5.477 eV/atom
# Volume: 360.21 Å³/cell
# Space-group type: Immm